Entry from the Alexandria database: a relaxed structure of Er8Tl2Ir (PBE).

Output
Formation enthalpy at 0 K in eV/atom: -0.305
Space group: C2/m (12)

Lattice parameters (Å, degrees): 5.173 6.704 9.829 111.66 105.26 90.00
Positions (direct):
Ir 0.500 0.000 0.000
Er 0.019 0.794 0.038
Er 0.351 0.004 0.702
Er 0.649 0.996 0.298
Er 0.791 0.668 0.582
Er 0.592 0.440 0.184
Er 0.408 0.560 0.816
Tl 0.828 0.261 0.655
Tl 0.172 0.739 0.345
Er 0.981 0.206 0.962
Er 0.209 0.332 0.418

=====

Entry from the Alexandria database: a relaxed structure of ZnAg2Pb2 (PBE).

Output
Formation enthalpy at 0 K in eV/atom: 0.226
Space group: P4/mbm (127)

Lattice parameters (Å, degrees): 8.350 8.350 3.567 90.00 90.00 90.00
Positions (direct):
Zn 0.500 0.500 0.000
Pb 0.322 0.822 0.000
Ag 0.379 0.121 0.500
Ag 0.879 0.379 0.500
Pb 0.822 0.678 0.000
Zn 0.000 0.000 0.000
Pb 0.678 0.178 0.000
Pb 0.178 0.322 0.000
Ag 0.621 0.879 0.500
Ag 0.121 0.621 0.500

=====

Entry from the Alexandria database: a relaxed structure of LiZn4W (PBE).

Output
Formation enthalpy at 0 K in eV/atom: 0.300
Space group: F-43m (216)

Lattice parameters (Å, degrees): 5.005 5.005 5.005 60.00 60.00 60.00
Each line ends with the local moment (μB).
Positions (direct):
W 0.000 0.000 0.000  0.77
Zn 0.626 0.626 0.122  0.00
Zn 0.626 0.122 0.626  0.00
Zn 0.122 0.626 0.626  0.00
Zn 0.626 0.626 0.626  0.00
Li 0.250 0.250 0.250  0.01

=====

Entry from the Alexandria database: a relaxed structure of TbTmAlCo (PBE).

Output
Formation enthalpy at 0 K in eV/atom: -0.214
Space group: F-43m (216)

Lattice parameters (Å, degrees): 4.932 4.932 4.932 60.00 60.00 60.00
Each line ends with the local moment (μB).
Positions (direct):
Al 0.750 0.750 0.750  0.03
Co 0.250 0.250 0.250  1.20
Tb 0.500 0.500 0.500  -0.10
Tm 0.000 0.000 0.000  -0.11

=====

Entry from the Alexandria database: a relaxed structure of CdGa2Hg (PBE).

Output
Formation enthalpy at 0 K in eV/atom: 0.093
Space group: I-42d (122)

Lattice parameters (Å, degrees): 4.159 4.159 10.856 78.96 78.96 90.00
Positions (direct):
Cd 0.500 0.500 0.000
Hg 0.000 0.000 0.000
Ga 0.625 0.125 0.250
Ga 0.125 0.625 0.250
Hg 0.750 0.250 0.500
Ga 0.375 0.375 0.750
Ga 0.875 0.875 0.750
Cd 0.250 0.750 0.500

=====

Entry from the Alexandria database: a relaxed structure of PmSm4Ag (PBE).

Output
Formation enthalpy at 0 K in eV/atom: 0.047
Space group: Cmc2_1 (36)

Lattice parameters (Å, degrees): 5.566 6.543 10.909 90.00 104.78 90.00
Positions (direct):
Ag 0.605 0.970 0.211
Sm 0.677 0.570 0.355
Sm 0.935 0.210 0.871
Pm 0.867 0.710 0.734
Sm 0.253 0.596 0.506
Sm 0.323 0.070 0.645
Pm 0.133 0.210 0.266
Sm 0.065 0.710 0.129
Sm 0.466 0.877 0.932
Ag 0.395 0.470 0.789
Sm 0.747 0.096 0.494
Sm 0.534 0.377 0.068

=====

Entry from the Alexandria database: a relaxed structure of Pm3Hg4Pd4 (PBE).

Output
Formation enthalpy at 0 K in eV/atom: -0.562
Space group: Immm (71)

Lattice parameters (Å, degrees): 4.094 8.003 8.905 116.70 103.29 90.00
Positions (direct):
Hg 0.665 0.860 0.331
Pd 0.233 0.733 0.467
Pm 0.123 0.123 0.245
Hg 0.665 0.471 0.331
Hg 0.335 0.140 0.669
Pm 0.877 0.877 0.755
Hg 0.335 0.529 0.669
Pd 0.500 0.820 0.000
Pd 0.500 0.180 0.000
Pm 0.000 0.500 0.000
Pd 0.767 0.267 0.533

=====

Entry from the Alexandria database: a relaxed structure of Ca4AgW (PBE).

Output
Formation enthalpy at 0 K in eV/atom: 1.111
Space group: F-43m (216)

Lattice parameters (Å, degrees): 6.341 6.341 6.341 60.00 60.00 60.00
Each line ends with the local moment (μB).
Positions (direct):
W 0.750 0.750 0.750  2.59
Ca 0.375 0.375 0.874  0.05
Ag 0.000 0.000 0.000  0.01
Ca 0.375 0.874 0.375  0.05
Ca 0.874 0.375 0.375  0.05
Ca 0.375 0.375 0.375  0.05

=====

Entry from the Alexandria database: a relaxed structure of Mg2ScSe4 (PBE).

Output
Raw total energy in eV/cell: -63.52
Space group: Cmcm (63)

Lattice parameters (Å, degrees): 3.704 6.681 13.024 90.00 90.00 106.10
Positions (direct):
Mg 0.133 0.267 0.072
Sc 0.379 0.757 0.250
Se 0.216 0.433 0.620
Se 0.034 0.067 0.250
Mg 0.867 0.733 0.572
Se 0.500 0.000 0.000
Mg 0.133 0.267 0.428
Se 0.784 0.567 0.380
Sc 0.621 0.243 0.750
Se 0.216 0.433 0.880
Se 0.966 0.933 0.750
Se 0.500 0.000 0.500
Mg 0.867 0.733 0.928
Se 0.784 0.567 0.120

=====

Entry from the Alexandria database: a relaxed structure of LaSb2Rh3 (PBE).

Output
Raw total energy in eV/cell: -119.47
Space group: C2/m (12)

Lattice parameters (Å, degrees): 4.247 8.957 10.370 106.26 90.00 103.72
Positions (direct):
Sb 0.360 0.720 0.545
Sb 0.537 0.074 0.776
Rh 0.679 0.357 0.959
Rh 0.381 0.761 0.801
La 0.000 0.000 0.000
La 0.162 0.324 0.705
Rh 0.954 0.909 0.667
Rh 0.500 0.000 0.500
Sb 0.193 0.386 0.125
Rh 0.321 0.643 0.041
Rh 0.046 0.091 0.333
Rh 0.216 0.432 0.391
Sb 0.463 0.926 0.224
La 0.838 0.676 0.295
Sb 0.807 0.614 0.875
Rh 0.784 0.568 0.609
Rh 0.619 0.239 0.199
Sb 0.640 0.280 0.455

=====

Entry from the Alexandria database: a relaxed structure of Ag2OsF6 (PBE).

Output
Raw total energy in eV/cell: -81.18
Space group: P4_2/mnm (136)

Lattice parameters (Å, degrees): 5.253 5.253 10.975 90.00 90.00 90.00
Each line ends with the local moment (μB).
Positions (direct):
F 0.261 0.261 0.500  0.10
Ag 0.000 0.000 0.834  0.01
Ag 0.500 0.500 0.666  0.01
F 0.175 0.825 0.362  0.04
F 0.675 0.675 0.862  0.04
F 0.175 0.825 0.638  0.04
Ag 0.000 0.000 0.166  0.01
F 0.739 0.739 0.500  0.10
F 0.325 0.325 0.138  0.04
Os 0.000 0.000 0.500  1.55
Ag 0.500 0.500 0.334  0.01
F 0.761 0.239 0.000  0.10
F 0.325 0.325 0.862  0.04
F 0.825 0.175 0.362  0.04
F 0.675 0.675 0.138  0.04
Os 0.500 0.500 0.000  1.55
F 0.825 0.175 0.638  0.04
F 0.239 0.761 0.000  0.10

=====

Entry from the Alexandria database: a relaxed structure of PrGdDyTm (PBE).

Output
Formation enthalpy at 0 K in eV/atom: 0.104
Space group: F-43m (216)

Lattice parameters (Å, degrees): 5.704 5.704 5.704 60.00 60.00 60.00
Each line ends with the local moment (μB).
Positions (direct):
Pr 0.250 0.250 0.250  -0.02
Dy 0.000 0.000 0.000  0.08
Tm 0.500 0.500 0.500  0.06
Gd 0.750 0.750 0.750  7.23

=====

Entry from the Alexandria database: a relaxed structure of Ta2AlTl (PBE).

Output
Formation enthalpy at 0 K in eV/atom: 0.252
Space group: Immm (71)

Lattice parameters (Å, degrees): 5.384 5.384 5.384 140.75 130.12 65.24
Positions (direct):
Ta 0.007 0.007 0.000
Tl 0.750 0.250 0.500
Al 0.250 0.750 0.500
Ta 0.493 0.493 0.000

=====

Entry from the Alexandria database: a relaxed structure of Y2Cr (PBE).

Output
Formation enthalpy at 0 K in eV/atom: 0.297
Space group: P-62m (189)

Lattice parameters (Å, degrees): 8.612 8.612 3.729 90.00 90.00 120.00
Each line ends with the local moment (μB).
Positions (direct):
Cr 0.333 0.667 0.000  3.39
Y 0.000 0.262 0.000  -0.20
Y 0.000 0.600 0.500  -0.27
Y 0.400 0.400 0.500  -0.27
Cr 0.667 0.333 0.000  3.39
Y 0.738 0.738 0.000  -0.20
Cr 0.000 0.000 0.500  3.11
Y 0.262 0.000 0.000  -0.20
Y 0.600 0.000 0.500  -0.27

=====

Entry from the Alexandria database: a relaxed structure of Ba3Cu5S12 (PBE).

Output
Raw total energy in eV/cell: -332.25
Space group: Ia-3d (230)

Lattice parameters (Å, degrees): 13.373 13.373 13.373 109.47 109.47 109.47
Positions (direct):
Cu 0.625 0.750 0.875
Cu 0.500 0.500 0.500
Ba 0.125 0.250 0.875
S 0.688 0.588 0.182
Ba 0.375 0.750 0.625
Ba 0.750 0.375 0.125
S 0.412 0.312 0.318
S 0.406 0.400 0.588
S 0.900 0.588 0.906
S 0.682 0.494 0.594
S 0.818 0.912 0.312
S 0.594 0.600 0.412
S 0.400 0.406 0.088
S 0.688 0.100 0.006
S 0.100 0.688 0.506
Cu 0.250 0.375 0.625
Ba 0.375 0.625 0.250
S 0.094 0.912 0.100
Cu 0.125 0.750 0.375
S 0.494 0.682 0.094
S 0.318 0.506 0.406
S 0.588 0.688 0.682
S 0.494 0.812 0.900
S 0.588 0.900 0.406
Cu 0.000 0.500 0.000
S 0.900 0.312 0.494
Cu 0.500 0.000 0.500
S 0.088 0.906 0.400
S 0.100 0.412 0.094
S 0.188 0.682 0.088
Ba 0.250 0.125 0.375
Ba 0.250 0.625 0.875
S 0.506 0.318 0.906
Cu 0.375 0.125 0.750
Ba 0.750 0.875 0.625
Cu 0.500 0.000 0.000
S 0.400 0.994 0.812
Cu 0.875 0.250 0.625
S 0.994 0.594 0.182
Cu 0.750 0.125 0.875
Ba 0.875 0.125 0.250
Cu 0.000 0.000 0.000
Ba 0.625 0.375 0.750
Cu 0.500 0.500 0.000
Cu 0.125 0.375 0.250
S 0.312 0.900 0.994
Ba 0.125 0.875 0.750
S 0.312 0.412 0.818
S 0.600 0.594 0.912
S 0.812 0.494 0.400
Cu 0.625 0.875 0.250
S 0.600 0.006 0.188
S 0.906 0.818 0.506
S 0.682 0.188 0.588
S 0.506 0.188 0.100
Cu 0.000 0.000 0.500
S 0.088 0.182 0.188
S 0.406 0.006 0.318
Cu 0.875 0.625 0.750
S 0.912 0.094 0.600
S 0.182 0.094 0.994
S 0.188 0.506 0.600
S 0.094 0.182 0.494
S 0.812 0.318 0.912
S 0.594 0.994 0.682
S 0.818 0.906 0.006
Cu 0.000 0.500 0.500
Ba 0.875 0.750 0.125
Cu 0.750 0.625 0.375
S 0.906 0.088 0.900
S 0.994 0.400 0.312
S 0.412 0.100 0.594
S 0.006 0.406 0.818
S 0.182 0.088 0.688
Cu 0.250 0.875 0.125
Cu 0.375 0.250 0.125
S 0.318 0.812 0.412
S 0.006 0.600 0.688
S 0.912 0.818 0.812
Ba 0.625 0.250 0.375

=====

Entry from the Alexandria database: a relaxed structure of Al2PPt3 (PBE).

Output
Formation enthalpy at 0 K in eV/atom: -0.202
Space group: P6/mmm (191)

Lattice parameters (Å, degrees): 5.453 5.453 4.030 90.00 90.00 120.00
Positions (direct):
Pt 0.500 0.500 0.500
Pt 0.500 0.000 0.500
Al 0.667 0.333 0.000
Pt 0.000 0.500 0.500
P 0.000 0.000 0.000
Al 0.333 0.667 0.000

=====

Entry from the Alexandria database: a relaxed structure of Ca2ErPaBi4 (PBE).

Output
Formation enthalpy at 0 K in eV/atom: -0.648
Space group: P2/m (10)

Lattice parameters (Å, degrees): 4.558 7.799 7.910 109.26 90.00 90.00
Each line ends with the local moment (μB).
Positions (direct):
Er 0.500 0.500 0.000  -0.01
Ca 0.000 0.500 0.500  0.00
Bi 0.500 0.243 0.236  -0.01
Bi 0.000 0.251 0.764  -0.01
Bi 0.000 0.749 0.236  -0.01
Ca 0.500 0.000 0.500  0.00
Pa 0.000 0.000 0.000  0.20
Bi 0.500 0.757 0.764  -0.01

=====

Entry from the Alexandria database: a relaxed structure of Ac12MgIn3 (PBE).

Output
Formation enthalpy at 0 K in eV/atom: -0.126
Space group: P4/mmm (123)

Lattice parameters (Å, degrees): 5.372 5.372 21.410 90.00 90.00 90.00
Positions (direct):
Ac 0.500 0.500 0.500
In 0.000 0.000 0.749
Ac 0.500 0.500 0.000
In 0.000 0.000 0.500
Ac 0.000 0.500 0.625
Ac 0.500 0.500 0.750
Ac 0.500 0.500 0.250
Ac 0.500 0.000 0.873
Ac 0.500 0.000 0.127
Ac 0.000 0.500 0.375
Ac 0.500 0.000 0.375
Mg 0.000 0.000 0.000
Ac 0.000 0.500 0.127
Ac 0.500 0.000 0.625
Ac 0.000 0.500 0.873
In 0.000 0.000 0.251

=====

Entry from the Alexandria database: a relaxed structure of KHPt (PBE).

Output
Raw total energy in eV/cell: -22.04
Space group: P-1 (2)

Lattice parameters (Å, degrees): 5.206 5.402 6.113 63.60 64.81 89.98
Positions (direct):
K 0.188 0.196 0.123
H 0.693 0.499 0.502
Pt 0.495 0.231 0.510
K 0.812 0.804 0.877
Pt 0.505 0.769 0.490
H 0.307 0.501 0.498